SrZr2Cr: relaxed, PBE.

Lattice parameters (Å, degrees): 3.512 3.512 8.259 90.00 90.00 90.00
Element x y z (fractional)
Sr 0.000 0.000 0.000
Zr 0.000 0.000 0.570
Zr 0.500 0.500 0.348
Cr 0.500 0.500 0.723

Summary:
The spin magnetization is 2.30 μB/cell. Its space-group type is P4mm. For the energy above the most stable polymorph in this dataset, the calculation gives 0.48 eV per formula unit. The final energy comes out at -26.58 eV per cell.

***

Er6Pd2S: relaxed, PBE.

Lattice parameters (Å, degrees): 6.419 7.178 11.610 90.00 121.31 90.00
Element x y z (fractional)
Er 0.094 0.189 0.434
Er 0.094 0.311 0.934
Er 0.260 0.670 0.432
Er 0.260 0.830 0.932
Er 0.393 0.036 0.244
Er 0.393 0.464 0.744
Er 0.607 0.536 0.256
Er 0.607 0.964 0.756
Er 0.740 0.170 0.068
Er 0.740 0.330 0.568
Er 0.906 0.689 0.066
Er 0.906 0.811 0.566
Pd 0.180 0.114 0.741
Pd 0.180 0.386 0.241
Pd 0.820 0.614 0.759
Pd 0.820 0.886 0.259
S 0.500 0.000 0.500
S 0.500 0.500 0.000

Summary:
The spin magnetization is 0.00 μB/cell. Its space-group type is P2_1/c. The final energy comes out at -98.95 eV per cell.

***

Li3Tm2PaS6: relaxed, PBE.

Lattice parameters (Å, degrees): 6.677 6.677 6.583 99.72 99.72 120.01
Element x y z (fractional)
Li 0.000 0.000 0.000
Li 0.331 0.669 0.000
Li 0.669 0.331 0.000
Tm 0.167 0.833 0.500
Tm 0.833 0.167 0.500
Pa 0.500 0.500 0.500
S 0.080 0.416 0.246
S 0.249 0.249 0.753
S 0.416 0.080 0.246
S 0.584 0.920 0.754
S 0.751 0.751 0.247
S 0.920 0.584 0.754

Summary:
The spin magnetization is 1.51 μB/cell. Its space-group type is C2/m. The final energy comes out at -69.26 eV per cell.

***

Cr2InBr: relaxed, PBE.

Lattice parameters (Å, degrees): 6.690 6.690 4.725 90.14 90.14 27.99
Element x y z (fractional)
Cr 0.000 0.000 0.000
Cr 0.642 0.642 0.001
In 0.515 0.515 0.500
Br 0.304 0.304 0.998

Summary:
The spin magnetization is 0.41 μB/cell. Its space-group type is Cm. For the energy above the most stable polymorph in this dataset, the calculation gives 0.28 eV per formula unit. The final energy comes out at -22.51 eV per cell.

***

BaAc2Cd2: relaxed, PBE.

Lattice parameters (Å, degrees): 11.893 11.893 4.083 90.00 90.00 160.13
Element x y z (fractional)
Ba 0.000 0.000 0.000
Ac 0.177 0.823 0.000
Ac 0.823 0.177 0.000
Cd 0.404 0.596 0.500
Cd 0.596 0.404 0.500

Summary:
The spin magnetization is 0.55 μB/cell. Its space-group type is Cmmm. The final energy comes out at -12.71 eV per cell.

***

Tm12FePb6: relaxed, PBE.

Lattice parameters (Å, degrees): 8.281 8.281 8.281 91.82 91.82 91.82
Element x y z (fractional)
Tm 0.042 0.919 0.703
Tm 0.081 0.297 0.958
Tm 0.207 0.418 0.549
Tm 0.297 0.958 0.081
Tm 0.418 0.549 0.207
Tm 0.451 0.793 0.582
Tm 0.549 0.207 0.418
Tm 0.582 0.451 0.793
Tm 0.703 0.042 0.919
Tm 0.793 0.582 0.451
Tm 0.919 0.703 0.042
Tm 0.958 0.081 0.297
Fe 0.000 0.000 0.000
Pb 0.130 0.741 0.369
Pb 0.259 0.631 0.870
Pb 0.369 0.130 0.741
Pb 0.631 0.870 0.259
Pb 0.741 0.369 0.130
Pb 0.870 0.259 0.631

Summary:
The spin magnetization is 0.00 μB/cell. Its space-group type is R-3. The final energy comes out at -88.78 eV per cell.